No. 1
Entry from Alexandria via LeMat-Bulk: an optimized crystal structure of B7C5 (PBE).

Calculated values
For the formation energy, the calculation gives 5.35 eV/f.u. For the calculated total energy, the calculation gives -87.5 eV per cell.

Cell lengths 4.571, 4.581, 4.986 Å; angles 103.47, 106.18, 112.50 degrees
Atoms (fractional coordinates):
B  0.000  0.000  0.000
B  0.037  0.968  0.506
B  0.336  0.760  0.958
B  0.552  0.804  0.351
B  0.744  0.526  0.325
B  0.826  0.236  0.459
B  0.918  0.415  0.856
C  0.131  0.218  0.342
C  0.274  0.057  0.845
C  0.447  0.540  0.492
C  0.612  0.673  0.833
C  0.617  0.377  0.960


No. 2
Entry from Alexandria via LeMat-Bulk: an optimized crystal structure of BC (PBE).

Calculated values
For the formation energy, the calculation gives 0.83 eV/f.u. For the calculated total energy, the calculation gives -90.4 eV per cell.

Cell lengths 4.759, 2.599, 6.569 Å; angles 90.00, 95.12, 90.00 degrees
Atoms (fractional coordinates):
B  0.000  0.000  0.000
B  0.077  0.500  0.656
B  0.202  0.500  0.413
B  0.457  0.500  0.760
B  0.676  0.000  0.650
B  0.821  0.500  0.346
C  0.332  0.000  0.087
C  0.356  0.000  0.320
C  0.486  0.500  0.011
C  0.648  0.000  0.410
C  0.806  0.500  0.091
C  0.980  0.000  0.759


No. 3
Entry from Alexandria via LeMat-Bulk: an optimized crystal structure of BC (PBE).

Calculated values
For the formation energy, the calculation gives 0.88 eV/f.u. For the calculated total energy, the calculation gives -75.1 eV per cell.

Cell lengths 12.705, 12.705, 12.705 Å; angles 11.95, 11.95, 11.95 degrees
Atoms (fractional coordinates):
B  0.000  0.000  0.000
B  0.045  0.045  0.045
B  0.639  0.639  0.639
B  0.775  0.775  0.775
B  0.868  0.868  0.868
C  0.207  0.207  0.207
C  0.251  0.251  0.251
C  0.396  0.396  0.396
C  0.437  0.437  0.437
C  0.597  0.597  0.597


No. 4
Entry from Alexandria via LeMat-Bulk: an optimized crystal structure of B7C5 (PBE).

Calculated values
For the formation energy, the calculation gives 4.58 eV/f.u. For the calculated total energy, the calculation gives -88.3 eV per cell.

Cell lengths 7.599, 7.599, 4.890 Å; angles 94.75, 94.75, 19.90 degrees
Atoms (fractional coordinates):
B  0.000  0.000  0.000
B  0.206  0.206  0.384
B  0.379  0.379  0.812
B  0.501  0.501  0.545
B  0.712  0.712  0.881
B  0.825  0.825  0.575
B  0.978  0.978  0.322
C  0.226  0.226  0.065
C  0.334  0.334  0.113
C  0.489  0.489  0.845
C  0.714  0.714  0.558
C  0.868  0.868  0.269


No. 5
Entry from Alexandria via LeMat-Bulk: an optimized crystal structure of B3C2 (PBE).

Calculated values
For the formation energy, the calculation gives 1.64 eV/f.u. For the calculated total energy, the calculation gives -73.7 eV per cell.

Cell lengths 4.337, 4.337, 6.217 Å; angles 99.66, 99.66, 34.52 degrees
Atoms (fractional coordinates):
B  0.035  0.035  0.252
B  0.112  0.112  0.527
B  0.262  0.262  0.329
B  0.738  0.738  0.671
B  0.888  0.888  0.473
B  0.965  0.965  0.748
C  0.282  0.282  0.063
C  0.470  0.470  0.107
C  0.530  0.530  0.893
C  0.718  0.718  0.937


No. 6
Entry from Alexandria via LeMat-Bulk: an optimized crystal structure of B7C5 (PBE).

Calculated values
For the formation energy, the calculation gives 5.19 eV/f.u. For the calculated total energy, the calculation gives -87.7 eV per cell.

Cell lengths 4.976, 2.580, 6.433 Å; angles 90.00, 95.41, 90.00 degrees
Atoms (fractional coordinates):
B  0.000  0.000  0.000
B  0.080  0.500  0.654
B  0.240  0.500  0.432
B  0.459  0.500  0.745
B  0.634  0.000  0.425
B  0.763  0.500  0.107
B  0.885  0.500  0.372
C  0.311  0.000  0.085
C  0.341  0.000  0.322
C  0.453  0.500  0.004
C  0.652  0.000  0.672
C  0.933  0.000  0.758


No. 7
Entry from Alexandria via LeMat-Bulk: an optimized crystal structure of BC (PBE).

Calculated values
For the formation energy, the calculation gives 0.85 eV/f.u. For the calculated total energy, the calculation gives -90.3 eV per cell.

Cell lengths 4.620, 4.620, 4.840 Å; angles 105.13, 105.13, 116.92 degrees
Atoms (fractional coordinates):
B  0.111  0.781  0.447
B  0.119  0.439  0.847
B  0.145  0.855  0.000
B  0.439  0.119  0.847
B  0.781  0.111  0.447
B  0.855  0.145  0.000
C  0.111  0.426  0.385
C  0.426  0.111  0.385
C  0.496  0.496  0.489
C  0.517  0.517  0.992
C  0.718  0.718  0.349
C  0.720  0.720  0.846


No. 8
Entry from Alexandria via LeMat-Bulk: an optimized crystal structure of B3C2 (PBE).

Calculated values
For the formation energy, the calculation gives 2.96 eV/f.u. For the calculated total energy, the calculation gives -35.5 eV per cell.

Cell lengths 3.632, 3.759, 3.873 Å; angles 115.14, 90.73, 93.74 degrees
Atoms (fractional coordinates):
B  0.000  0.000  0.000
B  0.268  0.497  0.998
B  0.732  0.503  0.002
C  0.004  0.587  0.709
C  0.996  0.413  0.291


No. 9
Entry from Alexandria via LeMat-Bulk: an optimized crystal structure of B7C5 (PBE).

Calculated values
For the formation energy, the calculation gives 5.56 eV/f.u. For the calculated total energy, the calculation gives -87.3 eV per cell.

Cell lengths 4.547, 2.668, 7.028 Å; angles 90.00, 93.05, 90.00 degrees
Atoms (fractional coordinates):
B  0.000  0.000  0.000
B  0.024  0.000  0.243
B  0.337  0.000  0.866
B  0.434  0.500  0.215
B  0.642  0.000  0.346
B  0.757  0.500  0.955
B  0.818  0.500  0.595
C  0.123  0.500  0.347
C  0.162  0.500  0.562
C  0.320  0.000  0.638
C  0.423  0.500  0.984
C  0.642  0.000  0.572


No. 10
Entry from Alexandria via LeMat-Bulk: an optimized crystal structure of BC (PBE).

Calculated values
For the formation energy, the calculation gives 0.92 eV/f.u. For the calculated total energy, the calculation gives -89.9 eV per cell.

Cell lengths 4.812, 4.812, 7.488 Å; angles 112.34, 112.34, 32.20 degrees
Atoms (fractional coordinates):
B  0.109  0.109  0.205
B  0.120  0.120  0.717
B  0.265  0.265  0.426
B  0.735  0.735  0.574
B  0.880  0.880  0.283
B  0.891  0.891  0.795
C  0.255  0.255  0.943
C  0.420  0.420  0.908
C  0.431  0.431  0.400
C  0.569  0.569  0.600
C  0.580  0.580  0.092
C  0.745  0.745  0.057


No. 11
Entry from Alexandria via LeMat-Bulk: an optimized crystal structure of B3C2 (PBE).

Calculated values
For the formation energy, the calculation gives 1.97 eV/f.u. For the calculated total energy, the calculation gives -73.0 eV per cell.

Cell lengths 6.782, 6.782, 6.782 Å; angles 159.62, 44.17, 141.25 degrees
Atoms (fractional coordinates):
B  0.167  0.105  0.062
B  0.346  0.096  0.250
B  0.458  0.895  0.562
B  0.542  0.105  0.438
B  0.654  0.904  0.750
B  0.833  0.895  0.938
C  0.006  0.156  0.850
C  0.194  0.844  0.350
C  0.806  0.156  0.650
C  0.994  0.844  0.150


No. 12
Entry from Alexandria via LeMat-Bulk: an optimized crystal structure of B3C2 (PBE).

Calculated values
For the formation energy, the calculation gives 1.97 eV/f.u. For the calculated total energy, the calculation gives -73.0 eV per cell.

Cell lengths 6.212, 6.212, 4.510 Å; angles 109.05, 109.05, 24.24 degrees
Atoms (fractional coordinates):
B  0.062  0.062  0.229
B  0.140  0.140  0.957
B  0.237  0.237  0.357
B  0.763  0.763  0.643
B  0.860  0.860  0.043
B  0.938  0.938  0.771
C  0.346  0.346  0.229
C  0.445  0.445  0.542
C  0.555  0.555  0.458
C  0.654  0.654  0.771


No. 13
Entry from Alexandria via LeMat-Bulk: an optimized crystal structure of B7C5 (PBE).

Calculated values
For the formation energy, the calculation gives 4.99 eV/f.u. For the calculated total energy, the calculation gives -87.9 eV per cell.

Cell lengths 2.615, 2.707, 12.055 Å; angles 90.00, 90.00, 90.00 degrees
Atoms (fractional coordinates):
B  0.000  0.000  0.000
B  0.000  0.000  0.293
B  0.000  0.000  0.631
B  0.000  0.500  0.741
B  0.500  0.000  0.528
B  0.500  0.000  0.872
B  0.500  0.500  0.148
C  0.000  0.500  0.057
C  0.000  0.500  0.384
C  0.500  0.000  0.219
C  0.500  0.500  0.449
C  0.500  0.500  0.813


No. 14
Entry from Alexandria via LeMat-Bulk: an optimized crystal structure of B3C (PBE).

Calculated values
For the formation energy, the calculation gives 1.81 eV/f.u. For the calculated total energy, the calculation gives -82.4 eV per cell.

Cell lengths 4.562, 4.562, 7.943 Å; angles 110.08, 110.08, 33.52 degrees
Atoms (fractional coordinates):
B  0.000  0.000  0.000
B  0.018  0.018  0.512
B  0.151  0.151  0.373
B  0.301  0.301  0.176
B  0.372  0.372  0.746
B  0.506  0.506  0.175
B  0.530  0.530  0.671
B  0.776  0.776  0.347
B  0.938  0.938  0.279
C  0.173  0.173  0.977
C  0.678  0.678  0.869
C  0.837  0.837  0.824


No. 15
Entry from Alexandria via LeMat-Bulk: an optimized crystal structure of B7C5 (PBE).

Calculated values
For the formation energy, the calculation gives 4.42 eV/f.u. For the calculated total energy, the calculation gives -88.4 eV per cell.

Cell lengths 2.435, 2.435, 13.635 Å; angles 90.00, 90.00, 90.00 degrees
Atoms (fractional coordinates):
B  0.000  0.000  0.000
B  0.000  0.500  0.097
B  0.000  0.500  0.711
B  0.500  0.000  0.289
B  0.500  0.000  0.903
B  0.500  0.500  0.192
B  0.500  0.500  0.808
C  0.000  0.000  0.368
C  0.000  0.000  0.632
C  0.000  0.500  0.433
C  0.500  0.000  0.567
C  0.500  0.500  0.500


No. 16
Entry from Alexandria via LeMat-Bulk: an optimized crystal structure of B7C5 (PBE).

Calculated values
For the formation energy, the calculation gives 4.29 eV/f.u. For the calculated total energy, the calculation gives -88.6 eV per cell.

Cell lengths 3.812, 4.669, 5.525 Å; angles 103.51, 90.93, 113.72 degrees
Atoms (fractional coordinates):
B  0.000  0.000  0.000
B  0.039  0.616  0.428
B  0.123  0.674  0.920
B  0.301  0.273  0.532
B  0.666  0.951  0.279
B  0.713  0.858  0.715
B  0.816  0.298  0.088
C  0.287  0.597  0.669
C  0.288  0.601  0.158
C  0.400  0.311  0.104
C  0.613  0.285  0.345
C  0.952  0.939  0.492


No. 17
Entry from Alexandria via LeMat-Bulk: an optimized crystal structure of B7C5 (PBE).

Calculated values
For the formation energy, the calculation gives 4.53 eV/f.u. For the calculated total energy, the calculation gives -88.3 eV per cell.

Cell lengths 2.436, 2.463, 13.511 Å; angles 90.00, 90.00, 90.00 degrees
Atoms (fractional coordinates):
B  0.000  0.000  0.000
B  0.000  0.000  0.324
B  0.000  0.000  0.650
B  0.000  0.500  0.099
B  0.500  0.000  0.548
B  0.500  0.000  0.904
B  0.500  0.500  0.805
C  0.000  0.500  0.406
C  0.000  0.500  0.725
C  0.500  0.000  0.242
C  0.500  0.500  0.180
C  0.500  0.500  0.468


No. 18
Entry from Alexandria via LeMat-Bulk: an optimized crystal structure of B7C5 (PBE).

Calculated values
For the formation energy, the calculation gives 4.36 eV/f.u. For the calculated total energy, the calculation gives -88.5 eV per cell.

Cell lengths 4.917, 2.621, 6.383 Å; angles 90.00, 106.62, 90.00 degrees
Atoms (fractional coordinates):
B  0.000  0.000  0.000
B  0.006  0.000  0.712
B  0.116  0.500  0.558
B  0.215  0.500  0.331
B  0.337  0.000  0.956
B  0.499  0.500  0.653
B  0.824  0.500  0.298
C  0.318  0.000  0.229
C  0.516  0.500  0.910
C  0.639  0.000  0.352
C  0.670  0.000  0.593
C  0.822  0.500  0.042


No. 19
Entry from Alexandria via LeMat-Bulk: an optimized crystal structure of B7C5 (PBE).

Calculated values
For the formation energy, the calculation gives 4.97 eV/f.u. For the calculated total energy, the calculation gives -87.9 eV per cell.

Cell lengths 4.789, 2.659, 6.649 Å; angles 90.00, 96.88, 90.00 degrees
Atoms (fractional coordinates):
B  0.000  0.000  0.000
B  0.014  0.000  0.734
B  0.127  0.500  0.586
B  0.263  0.000  0.256
B  0.354  0.000  0.990
B  0.596  0.500  0.709
B  0.641  0.000  0.364
C  0.130  0.500  0.358
C  0.518  0.500  0.939
C  0.671  0.000  0.606
C  0.809  0.500  0.050
C  0.820  0.500  0.275


No. 20
Entry from Alexandria via LeMat-Bulk: an optimized crystal structure of BC (PBE).

Calculated values
For the formation energy, the calculation gives 0.91 eV/f.u. For the calculated total energy, the calculation gives -90.0 eV per cell.

Cell lengths 4.408, 2.589, 6.990 Å; angles 90.00, 90.12, 90.00 degrees
Atoms (fractional coordinates):
B  0.036  0.000  0.120
B  0.170  0.500  0.751
B  0.440  0.500  0.118
B  0.560  0.500  0.882
B  0.830  0.500  0.249
B  0.964  0.000  0.880
C  0.174  0.500  0.527
C  0.338  0.000  0.453
C  0.368  0.000  0.234
C  0.632  0.000  0.766
C  0.662  0.000  0.547
C  0.826  0.500  0.473